1.
Li3Zn3Ag2 after structural relaxation, computed with PBE. Values from VASP.

```
&SYSTEM
  ibrav = 0, nat = 8, ntyp = 3
/
ATOMIC_SPECIES
Li 6.94 Li.upf
Zn 65.41 Zn.upf
Ag 107.87 Ag.upf
CELL_PARAMETERS angstrom
7.1624 0.0000 0.0000
-3.5812 6.2029 0.0000
0.0000 0.0000 2.8629
ATOMIC_POSITIONS crystal
Li 0.0000 0.3884 0.0000
Li 0.3884 0.0000 0.0000
Li 0.6116 0.6116 0.0000
Zn 0.0000 0.7683 0.5000
Zn 0.2317 0.2317 0.5000
Zn 0.7683 0.0000 0.5000
Ag 0.3333 0.6667 0.5000
Ag 0.6667 0.3333 0.5000
```

Output
Its space-group type is P-62m (189). The calculation puts the formation enthalpy at 0 K at -0.95 eV per formula unit. The magnetization is 0.00 Bohr magnetons per cell. As for the final energy: -2.0276 eV per atom. The value obtained for the distance to the lowest polymorph of the same formula is 0.000 eV/atom.

=====

2.
Li17Zn11Ag after structural relaxation, computed with PBE. Values from VASP.

```
&SYSTEM
  ibrav = 0, nat = 29, ntyp = 3
/
ATOMIC_SPECIES
Li 6.94 Li.upf
Zn 65.41 Zn.upf
Ag 107.87 Ag.upf
CELL_PARAMETERS angstrom
4.9077 -6.9385 0.0000
4.9077 6.9385 0.0000
-4.7561 0.0000 6.9191
ATOMIC_POSITIONS crystal
Li 0.0000 0.0000 0.0000
Li 0.9999 0.4133 0.6887
Li 0.9999 0.6469 0.0030
Li 0.0003 0.6826 0.4120
Li 0.0013 0.0013 0.6418
Li 0.2768 0.5909 0.5886
Li 0.3121 0.7217 0.3119
Li 0.3184 0.3184 0.7320
Li 0.3519 0.3519 0.3542
Li 0.4065 0.6859 0.9977
Li 0.4133 0.9999 0.6887
Li 0.5848 0.5848 0.2734
Li 0.5909 0.2768 0.5886
Li 0.6469 0.9999 0.0030
Li 0.6826 0.0003 0.4120
Li 0.6859 0.4065 0.9977
Li 0.7217 0.3121 0.3119
Zn 0.0058 0.1934 0.3800
Zn 0.1820 0.8137 0.8128
Zn 0.1857 0.3694 0.0001
Zn 0.1934 0.0058 0.3800
Zn 0.3674 0.9986 0.1863
Zn 0.3694 0.1857 0.0001
Zn 0.6235 0.6235 0.8078
Zn 0.6317 0.8187 0.6291
Zn 0.8137 0.1820 0.8128
Zn 0.8187 0.6317 0.6291
Zn 0.9986 0.3674 0.1863
Ag 0.8103 0.8103 0.1853
```

Output
Its space-group type is Cm (8). The calculation puts the formation enthalpy at 0 K at -4.43 eV per formula unit. The magnetization is 0.00 Bohr magnetons per cell. As for the final energy: -1.8562 eV per atom.

=====

3.
LiZn3Ag6 after structural relaxation, computed with PBE. Values from VASP.

```
&SYSTEM
  ibrav = 0, nat = 20, ntyp = 3
/
ATOMIC_SPECIES
Li 6.94 Li.upf
Zn 65.41 Zn.upf
Ag 107.87 Ag.upf
CELL_PARAMETERS angstrom
5.0717 -6.1079 0.0000
5.0717 6.1079 0.0000
0.0000 0.0000 5.6213
ATOMIC_POSITIONS crystal
Li 0.2099 0.7901 0.5000
Li 0.7901 0.2099 0.0000
Zn 0.0013 0.9987 0.7641
Zn 0.2539 0.5022 0.8220
Zn 0.4978 0.7461 0.8220
Zn 0.5022 0.2539 0.3220
Zn 0.7461 0.4978 0.3220
Zn 0.9987 0.0013 0.2641
Ag 0.0592 0.4724 0.2185
Ag 0.1938 0.8062 0.0015
Ag 0.1958 0.2480 0.5226
Ag 0.2480 0.1958 0.0226
Ag 0.4247 0.5753 0.2963
Ag 0.4724 0.0592 0.7185
Ag 0.5276 0.9408 0.2185
Ag 0.5753 0.4247 0.7963
Ag 0.7520 0.8042 0.5226
Ag 0.8042 0.7520 0.0226
Ag 0.8062 0.1938 0.5015
Ag 0.9408 0.5276 0.7185
```

Output
Its space-group type is Cmc2_1 (36). The calculation puts the formation enthalpy at 0 K at -0.21 eV per formula unit. The magnetization is 0.00 Bohr magnetons per cell. As for the final energy: -2.3055 eV per atom. The value obtained for the distance to the lowest polymorph of the same formula is 0.053 eV/atom.

=====

4.
Li2ZnAg after structural relaxation, computed with PBE. Values from VASP.

```
&SYSTEM
  ibrav = 0, nat = 4, ntyp = 3
/
ATOMIC_SPECIES
Li 6.94 Li.upf
Zn 65.41 Zn.upf
Ag 107.87 Ag.upf
CELL_PARAMETERS angstrom
2.8156 -3.9000 0.0000
2.8156 3.9000 0.0000
0.0000 0.0000 2.8574
ATOMIC_POSITIONS crystal
Li 0.0000 0.5000 0.0000
Li 0.5000 0.0000 0.0000
Zn 0.0000 0.0000 0.5000
Ag 0.5000 0.5000 0.5000
```

Output
Its space-group type is Cmmm (65). The calculation puts the formation enthalpy at 0 K at -0.70 eV per formula unit. The magnetization is 0.00 Bohr magnetons per cell. As for the final energy: -2.1630 eV per atom.

=====

5.
Li4Zn4Ag after structural relaxation, computed with PBE. Values from VASP.

```
&SYSTEM
  ibrav = 0, nat = 9, ntyp = 3
/
ATOMIC_SPECIES
Li 6.94 Li.upf
Zn 65.41 Zn.upf
Ag 107.87 Ag.upf
CELL_PARAMETERS angstrom
-4.0997 4.0997 2.0284
4.0997 -4.0997 2.0284
4.0997 4.0997 -2.0284
ATOMIC_POSITIONS crystal
Li 0.1679 0.1679 0.3357
Li 0.1679 0.8321 0.0000
Li 0.8321 0.1679 0.0000
Li 0.8321 0.8321 0.6643
Zn 0.1615 0.5000 0.6615
Zn 0.5000 0.1615 0.6615
Zn 0.5000 0.8385 0.3385
Zn 0.8385 0.5000 0.3385
Ag 0.5000 0.5000 0.0000
```

Output
Its space-group type is I4/mmm (139). The calculation puts the formation enthalpy at 0 K at -1.60 eV per formula unit. The magnetization is 0.00 Bohr magnetons per cell. As for the final energy: -1.9118 eV per atom. The value obtained for the distance to the lowest polymorph of the same formula is 0.000 eV/atom.

=====

6.
LiZn4Ag3 after structural relaxation, computed with PBE. Values from VASP.

```
&SYSTEM
  ibrav = 0, nat = 8, ntyp = 3
/
ATOMIC_SPECIES
Li 6.94 Li.upf
Zn 65.41 Zn.upf
Ag 107.87 Ag.upf
CELL_PARAMETERS angstrom
3.2174 0.0000 0.0000
0.0000 3.2174 0.0000
0.0000 0.0000 12.1266
ATOMIC_POSITIONS crystal
Li 0.0000 0.0000 0.0000
Zn 0.5000 0.5000 0.1120
Zn 0.5000 0.5000 0.3706
Zn 0.5000 0.5000 0.6294
Zn 0.5000 0.5000 0.8880
Ag 0.0000 0.0000 0.2406
Ag 0.0000 0.0000 0.5000
Ag 0.0000 0.0000 0.7594
```

Output
Its space-group type is P4/mmm (123). The calculation puts the formation enthalpy at 0 K at -0.68 eV per formula unit. The magnetization is 0.00 Bohr magnetons per cell. As for the final energy: -2.0301 eV per atom. The value obtained for the distance to the lowest polymorph of the same formula is 0.000 eV/atom.

=====

7.
Li5Zn2Ag2 after structural relaxation, computed with PBE. Values from VASP.

```
&SYSTEM
  ibrav = 0, nat = 18, ntyp = 3
/
ATOMIC_SPECIES
Li 6.94 Li.upf
Zn 65.41 Zn.upf
Ag 107.87 Ag.upf
CELL_PARAMETERS angstrom
-6.7060 4.4515 2.5831
6.7060 -4.4515 2.5831
6.7060 4.4515 -2.5831
ATOMIC_POSITIONS crystal
Li 0.2292 0.0635 0.2928
Li 0.2292 0.4365 0.6657
Li 0.4232 0.2822 0.6410
Li 0.6142 0.1284 0.1824
Li 0.6142 0.9317 0.9858
Li 0.6411 0.7822 0.3590
Li 0.7708 0.5635 0.3343
Li 0.7708 0.9365 0.7072
Li 0.9460 0.4317 0.8176
Li 0.9460 0.6284 0.0142
Zn 0.1184 0.2809 0.3375
Zn 0.7121 0.2121 0.5000
Zn 0.7121 0.7121 0.0000
Zn 0.9433 0.7809 0.6625
Ag 0.2156 0.3626 0.0511
Ag 0.2156 0.6645 0.3530
Ag 0.3115 0.1645 0.9489
Ag 0.3115 0.8626 0.6470
```

Output
Its space-group type is Ima2 (46). The calculation puts the formation enthalpy at 0 K at -0.63 eV per formula unit. The magnetization is 0.00 Bohr magnetons per cell. As for the final energy: -2.0502 eV per atom.

=====

8.
Li2Zn6Ag3 after structural relaxation, computed with PBE. Values from VASP.

```
&SYSTEM
  ibrav = 0, nat = 11, ntyp = 3
/
ATOMIC_SPECIES
Li 6.94 Li.upf
Zn 65.41 Zn.upf
Ag 107.87 Ag.upf
CELL_PARAMETERS angstrom
6.4169 -2.2405 0.0000
6.4169 2.2405 0.0000
-4.5687 0.0000 6.1774
ATOMIC_POSITIONS crystal
Li 0.2000 0.2000 0.2164
Li 0.8000 0.8000 0.7836
Zn 0.0599 0.0599 0.7648
Zn 0.1765 0.1765 0.5462
Zn 0.4218 0.4218 0.7599
Zn 0.5782 0.5782 0.2401
Zn 0.8235 0.8235 0.4538
Zn 0.9401 0.9401 0.2352
Ag 0.3206 0.3206 0.9953
Ag 0.5000 0.5000 0.5000
Ag 0.6794 0.6794 0.0047
```

Output
Its space-group type is C2/m (12). The calculation puts the formation enthalpy at 0 K at -1.09 eV per formula unit. The magnetization is 0.00 Bohr magnetons per cell. As for the final energy: -1.9198 eV per atom.